# YTa2 PBE relaxed
data_YTa2
_chemical_formula_sum 'Y4 Ta8'
_cell_length_a 6.6399
_cell_length_b 6.6399
_cell_length_c 6.6399
_cell_angle_alpha 90.00
_cell_angle_beta 90.00
_cell_angle_gamma 90.00
_symmetry_space_group_name_H-M 'P a -3'
_symmetry_Int_Tables_number 205
_symmetry_space_group_name_Hall '-P 2ac 2ab 3'
loop_
_atom_site_label
_atom_site_type_symbol
_atom_site_fract_x
_atom_site_fract_y
_atom_site_fract_z
Y1 Y 0.0000 0.0000 0.0000
Ta1 Ta 0.1181 0.6181 0.8819
# D(E_F) in states/eV per atom: 1.44
# Formation energy in eV per atom: 2.1405
# E in eV/atom: -7.9159
# Density in g/cm3: 10.23
# Energy above the most stable polymorph in this dataset in meV per atom: 1894.6